No. 1
Computed, not measured: Sr2Li12MgHg3 after structural relaxation at the PBE-GGA level of DFT.

The structure in POSCAR format:
```
Sr2Li12MgHg3
1.0
5.038 2.908 4.705
-5.038 2.908 4.705
0.000 -5.817 4.705
Sr Li Mg Hg
2 12 1 3
direct
0.242 0.242 0.242
0.758 0.758 0.758
0.083 0.083 0.648
0.083 0.648 0.083
0.222 0.693 0.693
0.307 0.307 0.778
0.307 0.778 0.307
0.352 0.917 0.917
0.648 0.083 0.083
0.693 0.222 0.693
0.693 0.693 0.222
0.778 0.307 0.307
0.917 0.352 0.917
0.917 0.917 0.352
0.500 0.500 0.500
0.000 0.500 0.500
0.500 0.000 0.500
0.500 0.500 0.000
```

Results
DOS at the Fermi energy ... 10.1 states/eV/cell
SG ... R-3m (166)
VASP energy ... -1.6819 eV per atom

***

No. 2
Computed, not measured: LaCo2Rh after structural relaxation at the PBE-GGA level of DFT.

The structure in POSCAR format:
```
LaCo2Rh
1.0
3.087 0.000 0.000
0.000 3.087 0.000
0.000 0.000 6.990
La Co Rh
1 2 1
direct
0.000 0.000 0.000
0.000 0.000 0.522
0.500 0.500 0.677
0.500 0.500 0.307
```

Results
DOS at the Fermi energy ... 4.5 states/eV/cell
SG ... P4mm (99)
VASP energy ... -6.5311 eV per atom

***

No. 3
Computed, not measured: PmNdSm4Se8 after structural relaxation at the PBE-GGA level of DFT.

The structure in POSCAR format:
```
PmNdSm4Se8
1.0
4.311 2.489 7.051
-4.311 2.489 7.051
0.000 -4.978 7.051
Pm Nd Sm Se
1 1 4 8
direct
0.000 0.000 0.000
0.625 0.625 0.625
0.000 0.000 0.498
0.000 0.498 0.000
0.375 0.375 0.375
0.498 0.000 0.000
0.224 0.757 0.757
0.242 0.242 0.242
0.243 0.243 0.771
0.243 0.771 0.243
0.757 0.224 0.757
0.757 0.757 0.224
0.759 0.759 0.759
0.771 0.243 0.243
```

Results
DOS at the Fermi energy ... 9.0 states/eV/cell
ΔE_f (raw) ... -1728 meV/atom
SG ... R3m (160)

***

No. 4
Computed, not measured: Nd2YHo2Er after structural relaxation at the PBE-GGA level of DFT.

The structure in POSCAR format:
```
Nd2YHo2Er
1.0
6.258 0.000 0.000
-0.001 7.224 0.000
-1.036 -1.793 8.653
Nd Y Ho Er
4 2 4 2
direct
0.141 0.210 0.337
0.252 0.875 0.000
0.748 0.125 0.000
0.859 0.790 0.663
0.249 0.376 0.998
0.751 0.624 0.002
0.361 0.043 0.665
0.362 0.541 0.665
0.638 0.459 0.335
0.639 0.957 0.335
0.139 0.708 0.335
0.861 0.292 0.665
```

Results
DOS at the Fermi energy ... 16.5 states/eV/cell
SG ... P-1 (2)
VASP energy ... -4.9502 eV per atom

***

No. 5
Computed, not measured: CrTcTe after structural relaxation at the PBE-GGA level of DFT.

The structure in POSCAR format:
```
CrTcTe
1.0
3.164 0.000 0.000
-1.582 2.740 0.000
0.000 0.000 6.093
Cr Tc Te
1 1 1
direct
0.000 0.000 0.000
0.667 0.333 0.249
0.333 0.667 0.642
```

Results
Energy relative to the lowest polymorph listed for this composition ... 0.498 eV per atom
DOS at the Fermi energy ... 2.5 states/eV/cell
ΔE_f (raw) ... 486 meV/atom
SG ... P3m1 (156)

***

No. 6
Computed, not measured: AgTe2Cl2 after structural relaxation at the PBE-GGA level of DFT.

The structure in POSCAR format:
```
AgTe2Cl2
1.0
7.387 0.000 0.000
0.000 7.387 0.000
0.000 0.000 5.445
Ag Te Cl
2 4 4
direct
0.000 0.000 0.000
0.500 0.500 0.000
0.143 0.357 0.000
0.357 0.857 0.000
0.643 0.143 0.000
0.857 0.643 0.000
0.161 0.339 0.500
0.339 0.839 0.500
0.661 0.161 0.500
0.839 0.661 0.500
```

Results
Energy relative to the lowest polymorph listed for this composition ... 0.000 eV per atom
DOS at the Fermi energy ... 3.8 states/eV/cell
ΔE_f (raw) ... -161 meV/atom
SG ... P4/mbm (127)

***

No. 7
Computed, not measured: SrInSb2 after structural relaxation at the PBE-GGA level of DFT.

The structure in POSCAR format:
```
SrInSb2
1.0
3.634 0.000 0.000
0.000 5.250 0.000
0.000 0.000 6.678
Sr In Sb
1 1 2
direct
0.000 0.000 0.000
0.500 0.500 0.353
0.000 0.000 0.492
0.500 0.500 0.888
```

Results
DOS at the Fermi energy ... 2.0 states/eV/cell
ΔE_f (raw) ... -293 meV/atom
SG ... Pmm2 (25)

***

The lowest DOS at the Fermi energy belongs to which entry?
SrInSb2

***

Which value of DOS at the Fermi energy does entry 2 give?
4.5 states/eV/cell